# PBE-GGA Na2U2CuSe6, relaxed
# density of states at the Fermi level = 1.03 states/eV per atom
# uncorrected formation energy = -10.68 eV per formula unit
data_Na2U2CuSe6
_chemical_formula_sum 'Na4 U4 Cu2 Se12'
_cell_length_a 6.800
_cell_length_b 12.798
_cell_length_c 7.386
_cell_angle_alpha 90.00
_cell_angle_beta 107.31
_cell_angle_gamma 90.00
_symmetry_space_group_name_H-M 'C 1 2/m 1'
_symmetry_Int_Tables_number 12
loop_
_symmetry_equiv_pos_as_xyz
'x,y,z'
'-x,-y,-z'
'-x,y,-z'
'x,-y,z'
'x+1/2,y+1/2,z'
'-x+1/2,-y+1/2,-z'
'-x+1/2,y+1/2,-z'
'x+1/2,-y+1/2,z'
loop_
_atom_site_label
_atom_site_fract_x
_atom_site_fract_y
_atom_site_fract_z
_atom_site_occupancy
Na1 0.000 0.157 0.000 1
U1 0.000 0.338 0.500 1
Cu1 0.000 0.000 0.500 1
Se1 0.234 0.000 0.302 1
Se2 0.245 0.182 0.726 1

***

# PBE-GGA Na2UCuSe5, relaxed
# density of states at the Fermi level = 0.51 states/eV per atom
# uncorrected formation energy = -7.08 eV per formula unit
data_Na2UCuSe5
_chemical_formula_sum 'Na8 U4 Cu4 Se20'
_cell_length_a 4.052
_cell_length_b 18.244
_cell_length_c 12.991
_cell_angle_alpha 90.00
_cell_angle_beta 90.00
_cell_angle_gamma 90.00
_symmetry_space_group_name_H-M 'C m c 21'
_symmetry_Int_Tables_number 36
loop_
_symmetry_equiv_pos_as_xyz
'x,y,z'
'-x,-y,z+1/2'
'-x,y,z'
'x,-y,z+1/2'
'x+1/2,y+1/2,z'
'-x+1/2,-y+1/2,z+1/2'
'-x+1/2,y+1/2,z'
'x+1/2,-y+1/2,z+1/2'
loop_
_atom_site_label
_atom_site_fract_x
_atom_site_fract_y
_atom_site_fract_z
_atom_site_occupancy
Na1 0.000 0.092 0.000 1
Na2 0.000 0.106 0.684 1
U1 0.000 0.206 0.349 1
Cu1 0.000 0.423 0.748 1
Se1 0.000 0.058 0.348 1
Se2 0.000 0.292 0.706 1
Se3 0.000 0.301 0.988 1
Se4 0.000 0.349 0.349 1
Se5 0.000 0.499 0.106 1

***

# PBE-GGA NaVCu3Se4, relaxed
# density of states at the Fermi level = 0.55 states/eV per atom
# uncorrected formation energy = -4.46 eV per formula unit
data_NaVCu3Se4
_chemical_formula_sum 'Na1 V1 Cu3 Se4'
_cell_length_a 5.885
_cell_length_b 5.885
_cell_length_c 5.885
_cell_angle_alpha 90.00
_cell_angle_beta 90.00
_cell_angle_gamma 90.00
_symmetry_space_group_name_H-M 'P -4 3 m'
_symmetry_Int_Tables_number 215
_symmetry_space_group_name_Hall 'P -4 2 3'
loop_
_atom_site_label
_atom_site_fract_x
_atom_site_fract_y
_atom_site_fract_z
_atom_site_occupancy
Na1 0.000 0.000 0.000 1
V1 0.500 0.500 0.500 1
Cu1 0.000 0.500 0.500 1
Se1 0.269 0.269 0.731 1

***

# PBE-GGA NaVCu2Se4, relaxed
# density of states at the Fermi level = 0.04 states/eV per atom
# uncorrected formation energy = -4.05 eV per formula unit
data_NaVCu2Se4
_chemical_formula_sum 'Na2 V2 Cu4 Se8'
_cell_length_a 6.026
_cell_length_b 6.026
_cell_length_c 10.436
_cell_angle_alpha 90.00
_cell_angle_beta 90.00
_cell_angle_gamma 90.00
_symmetry_space_group_name_H-M 'I -4 2 m'
_symmetry_Int_Tables_number 121
_symmetry_space_group_name_Hall 'I -4 2'
loop_
_atom_site_label
_atom_site_fract_x
_atom_site_fract_y
_atom_site_fract_z
_atom_site_occupancy
Na1 0.000 0.000 0.000 1
V1 0.000 0.000 0.500 1
Cu1 0.000 0.500 0.250 1
Se1 0.215 0.215 0.637 1